Entry 1:
# Be2CuSe

Be2CuSe after structural relaxation (PBE, the Alexandria database).

final energy = -3.459 eV/atom
mass density = 4.08 g/cm³
total magnetization = 0.0 μB per formula unit

Unit cell a=5.4675 b=5.4675 c=8.7440 alpha=90.00 beta=90.00 gamma=90.00
Space group I-42d (No. 122)
Symmetry-distinct sites (fractional):
1 Be 0.2394 0.2500 0.1250
2 Cu 0.0000 0.0000 0.5000
3 Se 0.0000 0.0000 0.0000

---

Entry 2:
# Tb2MgGa2Pt5

Tb2MgGa2Pt5 after structural relaxation (PBE, the Alexandria database).

DFT formation energy = -0.9121 eV/atom
final energy = -5.623 eV/atom
mass density = 13.33 g/cm³
total magnetization = 0.0 μB per formula unit

Unit cell a=9.7727 b=9.7727 c=3.8008 alpha=90.00 beta=90.00 gamma=90.00
Space group P4/mbm (No. 127)
Symmetry-distinct sites (fractional):
1 Tb 0.1750 0.3250 0.0000
2 Mg 0.0000 0.0000 0.0000
3 Ga 0.1243 0.6243 0.0000
4 Pt 0.0000 0.5000 0.5000
5 Pt 0.0643 0.7931 0.5000

---

Entry 3:
# Hf3Zn9Ni2

Hf3Zn9Ni2 after structural relaxation (PBE, the Alexandria database).

DFT formation energy = -0.2240 eV/atom
final energy = -4.002 eV/atom
mass density = 9.53 g/cm³
total magnetization = 0.0 μB per formula unit

Unit cell a=4.2183 b=9.2851 c=11.0457 alpha=90.00 beta=90.00 gamma=90.00
Space group Immm (No. 71)
Symmetry-distinct sites (fractional):
1 Hf 0.0000 0.0000 0.0000
2 Hf 0.0000 0.0000 0.2943
3 Zn 0.0000 0.2777 0.1380
4 Zn 0.0000 0.3670 0.3631
5 Zn 0.0000 0.5000 0.0000
6 Ni 0.0000 0.1479 0.5000

---

Entry 4:
# LiHfO

LiHfO after structural relaxation (PBE, the Alexandria database).

energy above the most stable polymorph in this dataset = 0.080 eV/atom
final energy = -7.304 eV/atom
mass density = 7.53 g/cm³
total magnetization = 0.0 μB per formula unit

Unit cell a=5.3559 b=3.0913 c=10.7320 alpha=90.00 beta=90.66 gamma=90.00
Space group Cm (No. 8)
Symmetry-distinct sites (fractional):
1 Li 0.0000 0.0000 0.0000
2 Li 0.1520 0.5000 0.2979
3 Hf 0.1559 0.5000 0.5433
4 Hf 0.3282 0.0000 0.7759
5 O 0.1644 0.5000 0.9091
6 O 0.4866 0.5000 0.4120